1.
{
  "formula": "Tb6SiTe12",
  "functional": "PBE",
  "state": "optimized geometry",
  "crystal_system": "trigonal",
  "sg": "R-3",
  "raw_formation_energy_ev_per_atom": -1.01,
  "energy_ev_per_atom": -4.744,
  "lattice_angstrom": [[-3.067, 8.021, 1.415], [-2.125, -0.817, -8.400], [-6.505, -4.593, 3.512]],
  "species": ["Tb", "Tb", "Tb", "Tb", "Tb", "Tb", "Si", "Te", "Te", "Te", "Te", "Te", "Te", "Te", "Te", "Te", "Te", "Te", "Te"],
  "fractional_positions": [[0.694, 0.869, 0.360], [0.640, 0.306, 0.131], [0.131, 0.640, 0.306], [0.306, 0.131, 0.640], [0.360, 0.694, 0.869], [0.869, 0.360, 0.694], [0.000, 0.000, 0.000], [0.817, 0.569, 0.429], [0.429, 0.817, 0.569], [0.569, 0.429, 0.817], [0.183, 0.431, 0.571], [0.571, 0.183, 0.431], [0.431, 0.571, 0.183], [0.048, 0.982, 0.319], [0.018, 0.681, 0.952], [0.681, 0.952, 0.018], [0.952, 0.018, 0.681], [0.982, 0.319, 0.048], [0.319, 0.048, 0.982]]
}


2.
{
  "formula": "Tb5SiTe2",
  "functional": "PBE",
  "state": "optimized geometry",
  "crystal_system": "orthorhombic",
  "sg": "Cmcm",
  "raw_formation_energy_ev_per_atom": -0.64,
  "energy_ev_per_atom": -4.999,
  "lattice_angstrom": [[5.910, 0.000, 0.000], [-2.955, 6.163, 0.000], [0.000, 0.000, 13.843]],
  "species": ["Tb", "Tb", "Tb", "Tb", "Tb", "Tb", "Tb", "Tb", "Tb", "Tb", "Si", "Si", "Te", "Te", "Te", "Te"],
  "fractional_positions": [[0.946, 0.893, 0.876], [0.946, 0.893, 0.624], [0.380, 0.761, 0.401], [0.380, 0.761, 0.099], [0.689, 0.378, 0.250], [0.311, 0.622, 0.750], [0.620, 0.239, 0.599], [0.620, 0.239, 0.901], [0.054, 0.107, 0.124], [0.054, 0.107, 0.376], [0.770, 0.540, 0.750], [0.230, 0.460, 0.250], [0.813, 0.625, 0.442], [0.813, 0.625, 0.058], [0.187, 0.375, 0.558], [0.187, 0.375, 0.942]]
}


3.
{
  "formula": "Tb7Si2Te2",
  "functional": "PBE",
  "state": "optimized geometry",
  "crystal_system": "orthorhombic",
  "sg": "Cmmm",
  "raw_formation_energy_ev_per_atom": -0.33,
  "energy_ev_per_atom": -4.836,
  "lattice_angstrom": [[-5.741, 2.596, -2.856], [-1.552, -6.356, -2.655], [-2.495, -1.959, 6.148]],
  "species": ["Tb", "Tb", "Tb", "Tb", "Tb", "Tb", "Tb", "Si", "Si", "Te", "Te"],
  "fractional_positions": [[0.000, 0.280, 0.500], [0.500, 0.720, 0.000], [0.000, 0.720, 0.500], [0.500, 0.280, 0.000], [0.000, 0.000, 0.000], [0.500, 0.730, 0.500], [0.500, 0.270, 0.500], [0.784, 0.500, 0.784], [0.216, 0.500, 0.216], [0.719, 0.000, 0.281], [0.281, 0.000, 0.719]]
}